# 1
A plane-wave DFT calculation with PBE was carried out for Cs3UF8 after structural relaxation.

Results
Energy relative to the elements, uncorrected   -3.225 eV per atom
V   268.9 Å³ per cell

Cell: 7.2129 7.2609 7.2129 Å, 60.22 90.00 119.78°
Element x y z (fractional)
F1 0.9522 0.6486 0.0478
F2 0.8524 0.1183 0.1476
F3 0.0478 0.3514 0.6964
F4 0.7341 0.8817 0.8524
F5 0.2659 0.1183 0.7341
F6 0.3036 0.3514 0.9522
F7 0.6964 0.6486 0.3036
F8 0.1476 0.8817 0.2659
U1 0.0000 0.0000 0.0000
Cs1 0.5000 0.0000 0.5000
Cs2 0.2500 0.5000 0.2500
Cs3 0.7500 0.5000 0.7500

***

# 2
A plane-wave DFT calculation with PBE was carried out for Ac2MgCd2Pd5 after structural relaxation.

Results
ΔE_f   -0.492 eV/atom
V   437.5 Å³ per cell

Cell: 3.7473 10.8048 10.8048 Å, 90.00 90.00 90.00°
Element x y z (fractional)
Pd1 0.5000 0.3076 0.5490
Pd2 0.5000 0.1924 0.0490
Pd3 0.5000 0.5000 0.0000
Pd4 0.5000 0.0490 0.8076
Pd5 0.5000 0.0000 0.5000
Pd6 0.5000 0.6924 0.4510
Pd7 0.5000 0.4510 0.3076
Pd8 0.5000 0.8076 0.9510
Pd9 0.5000 0.5490 0.6924
Pd10 0.5000 0.9510 0.1924
Ac1 0.0000 0.3268 0.8268
Ac2 0.0000 0.1732 0.3268
Ac3 0.0000 0.6732 0.1732
Ac4 0.0000 0.8268 0.6732
Cd1 0.0000 0.1270 0.6270
Cd2 0.0000 0.8730 0.3730
Cd3 0.0000 0.6270 0.8730
Cd4 0.0000 0.3730 0.1270
Mg1 0.0000 0.0000 0.0000
Mg2 0.0000 0.5000 0.5000

***

# 3
A plane-wave DFT calculation with PBE was carried out for Sm4Dy4Tm after structural relaxation.

Results
ΔE_f   0.017 eV/atom
V   290.1 Å³ per cell
ΔE to the lowest computed polymorph   0 meV/atom

Cell: 5.0393 7.9944 7.9944 Å, 84.30 71.63 71.63°
Element x y z (fractional)
Sm1 0.6663 0.6675 0.0000
Sm2 0.3338 0.0000 0.3325
Sm3 0.3337 0.3325 0.0000
Sm4 0.6662 0.0000 0.6675
Tm1 0.0000 0.0000 0.0000
Dy1 0.0000 0.6662 0.3338
Dy2 0.0000 0.3338 0.6662
Dy3 0.6662 0.3338 0.3338
Dy4 0.3338 0.6662 0.6662

***

# 4
A plane-wave DFT calculation with PBE was carried out for LiTc after structural relaxation.

Results
ΔE_f   0.357 eV/atom
V   111.6 Å³ per cell
ΔE to the lowest computed polymorph   264 meV/atom

Cell: 4.0268 4.0268 7.9464 Å, 90.00 90.00 120.00°
Element x y z (fractional)
Li1 0.6667 0.3333 0.2500
Li2 0.0000 0.0000 0.7500
Li3 0.0000 0.0000 0.2500
Li4 0.3333 0.6667 0.7500
Tc1 0.6667 0.3333 0.5571
Tc2 0.3333 0.6667 0.4429
Tc3 0.6667 0.3333 0.9429
Tc4 0.3333 0.6667 0.0571

***

# 5
A plane-wave DFT calculation with PBE was carried out for Dy2YEr2Sc2 after structural relaxation.

Results
ΔE_f   0.181 eV/atom
V   211.0 Å³ per cell

Cell: 3.3855 8.7359 8.1421 Å, 116.16 90.00 101.17°
Element x y z (fractional)
Dy1 0.5721 0.1442 0.9146
Dy2 0.4279 0.8558 0.0854
Sc1 0.6520 0.3041 0.3936
Sc2 0.3480 0.6959 0.6064
Er1 0.2115 0.4230 0.7908
Er2 0.7885 0.5770 0.2092
Y1 0.0000 0.0000 0.5000

***

# 6
A plane-wave DFT calculation with PBE was carried out for La2AlNi3As4 after structural relaxation.

Results
ΔE_f   -0.796 eV/atom
V   181.0 Å³ per cell

Cell: 4.3014 4.3014 9.7825 Å, 90.00 90.00 90.00°
Element x y z (fractional)
As1 0.5000 0.0000 0.6401
As2 0.0000 0.5000 0.3599
As3 0.0000 0.0000 0.0000
As4 0.5000 0.5000 0.0000
Al1 0.5000 0.5000 0.5000
La1 0.0000 0.5000 0.7607
La2 0.5000 0.0000 0.2393
Ni1 0.0000 0.5000 0.1131
Ni2 0.0000 0.0000 0.5000
Ni3 0.5000 0.0000 0.8869

***

# 7
A plane-wave DFT calculation with PBE was carried out for Pm3Sm4Cd after structural relaxation.

Results
ΔE_f   0.027 eV/atom
V   258.2 Å³ per cell

Cell: 4.1697 4.1697 14.8518 Å, 90.00 90.00 90.00°
Element x y z (fractional)
Sm1 0.0000 0.0000 0.8860
Sm2 0.0000 0.0000 0.3735
Sm3 0.0000 0.0000 0.6265
Sm4 0.0000 0.0000 0.1140
Pm1 0.5000 0.5000 0.5000
Pm2 0.5000 0.5000 0.7477
Pm3 0.5000 0.5000 0.2523
Cd1 0.5000 0.5000 0.0000

***

# 8
A plane-wave DFT calculation with PBE was carried out for TlFeBr2 after structural relaxation.

Results
Energy relative to the elements, uncorrected   0.024 eV per atom
V   113.1 Å³ per cell
ΔE to the lowest computed polymorph   289 meV/atom

Cell: 3.6803 3.6803 9.2319 Å, 90.00 90.00 115.25°
Element x y z (fractional)
Fe1 0.0000 0.0000 0.4920
Br1 0.5000 0.5000 0.3331
Br2 0.0000 0.0000 0.9499
Tl1 0.5000 0.5000 0.7249

***

# 9
A plane-wave DFT calculation with PBE was carried out for GaH8Rh6 after structural relaxation.

Results
VASP energy   -0.1799 Ha/atom
V   126.4 Å³ per cell

Cell: 5.4083 5.4083 5.8858 Å, 62.65 62.65 60.00°
Element x y z (fractional)
Ga1 0.0000 0.0000 0.0000
Rh1 0.4755 0.0798 0.7420
Rh2 0.5245 0.9202 0.2580
Rh3 0.0798 0.7027 0.7420
Rh4 0.2973 0.5245 0.2580
Rh5 0.7027 0.4755 0.7420
Rh6 0.9202 0.2973 0.2580
H1 0.1450 0.3911 0.6236
H2 0.1597 0.8550 0.3764
H3 0.8550 0.6089 0.3764
H4 0.6089 0.1597 0.3764
H5 0.8403 0.1450 0.6236
H6 0.3911 0.8403 0.6236
H7 0.3612 0.3612 0.9164
H8 0.6388 0.6388 0.0836

***

# 10
A plane-wave DFT calculation with PBE was carried out for RbTa2Zn after structural relaxation.

Results
ΔE_f   1.522 eV/atom
V   215.4 Å³ per cell

Cell: 4.5235 4.5235 10.9999 Å, 78.13 78.13 90.00°
Element x y z (fractional)
Rb1 0.0000 0.0000 0.0000
Rb2 0.7500 0.2500 0.5000
Zn1 0.5000 0.5000 0.0000
Zn2 0.2500 0.7500 0.5000
Ta1 0.4949 0.6250 0.2500
Ta2 0.3750 0.7449 0.7500
Ta3 0.2551 0.1250 0.2500
Ta4 0.8750 0.5051 0.7500

***

# 11
A plane-wave DFT calculation with PBE was carried out for Ac3TlAu after structural relaxation.

Results
ΔE_f   -0.333 eV/atom
V   804.3 Å³ per cell
ΔE to the lowest computed polymorph   91 meV/atom

Cell: 8.6023 8.6023 13.7400 Å, 72.25 72.25 57.54°
Element x y z (fractional)
Tl1 0.7700 0.5220 0.8770
Tl2 0.4780 0.2300 0.6230
Tl3 0.5220 0.7700 0.3770
Tl4 0.2300 0.4780 0.1230
Au1 0.5000 0.0000 0.0000
Au2 0.1953 0.8047 0.7500
Au3 0.0000 0.5000 0.5000
Au4 0.8047 0.1953 0.2500
Ac1 0.7398 0.5938 0.1279
Ac2 0.9399 0.7713 0.2914
Ac3 0.5938 0.7398 0.6279
Ac4 0.7053 0.1750 0.0468
Ac5 0.2602 0.4062 0.8721
Ac6 0.2947 0.8250 0.9532
Ac7 0.2287 0.0601 0.2086
Ac8 0.1750 0.7053 0.5468
Ac9 0.0601 0.2287 0.7086
Ac10 0.7713 0.9399 0.7914
Ac11 0.4062 0.2602 0.3721
Ac12 0.8250 0.2947 0.4532

***

Number 1: Fermi-level density of states 1.10 states/eV/f.u.. Number 2: Fermi-level density of states 5.96 states/eV/f.u.. Number 3: Fermi-level density of states 12.89 states/eV/f.u.. Number 4: Fermi-level density of states 1.09 states/eV/f.u.. Number 5: Fermi-level density of states 12.36 states/eV/f.u.. Number 6: Fermi-level density of states 3.70 states/eV/f.u.. Number 7: Fermi-level density of states 13.45 states/eV/f.u.. Number 8: Fermi-level density of states 3.15 states/eV/f.u.. Number 9: Fermi-level density of states 8.97 states/eV/f.u.. Number 10: Fermi-level density of states 5.40 states/eV/f.u.. Number 11: Fermi-level density of states 6.54 states/eV/f.u..